An optimized crystal structure of LaMo2PbO8. Source: the Alexandria database, functional GGA+U.

As for the volume: 242.8 Å³ per cell. The crystal system is trigonal. As for the density of states at the Fermi level: 1.2 states/eV per cell. The value obtained for the uncorrected energy is -7.003 eV/atom. The calculation puts the spin magnetization at 1.02 μB per formula unit. Its space group is No. 147.

Cell lengths 5.450, 5.450, 9.439 Å; angles 90.00, 90.00, 120.00 degrees
Site moments in Bohr magnetons follow the coordinates.
Positions (direct):
1 La 0.000 0.000 0.500  0.00
2 Mo 0.333 0.667 0.734  0.02
3 Mo 0.667 0.333 0.266  0.02
4 O 0.667 0.333 0.075  0.00
5 O 0.321 0.967 0.664  0.01
6 O 0.679 0.033 0.336  0.01
7 O 0.333 0.667 0.925  0.00
8 O 0.033 0.353 0.664  0.01
9 O 0.967 0.647 0.336  0.01
10 O 0.647 0.679 0.664  0.01
11 O 0.353 0.321 0.336  0.01
12 Pb 0.000 0.000 0.000  0.35